(1)
# Dy3U4N8

Crystalline Dy3U4N8 at its relaxed geometry (PBE, Alexandria via LeMat-Bulk).

Cell and atoms, written as extended XYZ:
```
15
Lattice="-5.279 -1.430 -4.252 6.401 0.538 -2.514 2.143 -4.727 4.544" Properties=species:S:1:pos:R:3 pbc="T T T"
N 0.558 -4.138 0.669
U -2.639 -0.715 -2.126
N 2.707 -1.481 -2.891
N 5.425 -0.669 -0.896
Dy -1.568 -3.079 0.146
N 3.119 -3.521 2.926
N 3.834 -4.087 -0.736
N 6.556 -3.250 1.531
Dy 1.633 -2.810 -1.111
Dy 0.561 -0.446 -3.383
N -0.569 -1.532 -1.486
U 0.000 0.000 0.000
U 3.201 0.269 -1.257
N -3.291 -2.369 -3.753
U 1.071 -2.364 2.272
```

Values from the calculation:
The total energy comes out at -9.72 eV/atom. The symmetry is C2/m. The calculation puts the calculated volume at 15.51 Å³/atom.


(2)
# NaPaNbN4

Crystalline NaPaNbN4 at its relaxed geometry (PBE, Alexandria via LeMat-Bulk).

Cell and atoms, written as extended XYZ:
```
14
Lattice="-4.122 -2.518 3.258 0.674 -4.822 -2.873 6.275 -0.512 2.333" Properties=species:S:1:pos:R:3 pbc="T T T"
Na 3.494 -2.603 2.408
Nb 2.757 -4.562 -0.038
N -1.237 -2.740 1.527
Pa 1.110 -1.601 0.167
Nb 0.071 -3.290 2.757
N 1.414 -3.926 1.359
N 3.138 -0.256 1.166
Na -0.667 -5.249 0.310
N 1.876 -4.048 4.454
N 4.064 -5.112 1.191
N 1.077 -1.515 2.796
Pa 1.717 -6.251 2.551
N 3.475 -2.667 -0.270
N 0.952 -3.804 -1.735
```

Values from the calculation:
The total energy comes out at -8.33 eV/atom. The symmetry is Cmcm. The calculation puts the calculated volume at 14.23 Å³/atom.


(3)
# CeDy2Te

Crystalline CeDy2Te at its relaxed geometry (PBE, Alexandria via LeMat-Bulk).

Cell and atoms, written as extended XYZ:
```
4
Lattice="-3.339 0.291 -1.888 -3.292 -0.929 1.759 -3.176 9.180 3.111" Properties=species:S:1:pos:R:3 pbc="T T T"
Dy -2.417 1.795 0.631
Ce -4.904 4.281 1.495
Dy -2.968 7.165 2.435
Te -7.596 8.751 3.024
```

Values from the calculation:
The total energy comes out at -5.02 eV/atom. The symmetry is R3m. The calculation puts the calculated volume at 31.90 Å³/atom.


(4)
# Pr3Y6Tm2Pu

Crystalline Pr3Y6Tm2Pu at its relaxed geometry (PBE, Alexandria via LeMat-Bulk).

Cell and atoms, written as extended XYZ:
```
12
Lattice="6.207 -0.002 -0.012 -3.103 5.375 -0.012 -1.014 -1.755 11.631" Properties=species:S:1:pos:R:3 pbc="T T T"
Pr 1.045 1.809 5.804
Y 0.040 3.610 8.786
Y 2.086 3.611 2.811
Pr -2.054 3.599 5.804
Pr 4.144 0.020 5.804
Pu 0.000 0.000 0.000
Y 2.050 0.008 2.821
Tm 0.001 3.583 -0.012
Y 3.107 1.839 8.786
Y 0.004 0.007 8.797
Y -1.017 1.780 2.821
Tm 3.103 1.791 -0.012
```

Values from the calculation:
The total energy comes out at -6.32 eV/atom. As for the energy of formation: 0.05 eV/atom. The symmetry is C2/m. The calculation puts the calculated volume at 32.31 Å³/atom.


(5)
# TaPSe2

Crystalline TaPSe2 at its relaxed geometry (PBE, Alexandria via LeMat-Bulk).

Cell and atoms, written as extended XYZ:
```
4
Lattice="9.056 -1.623 0.011 9.056 1.623 0.011 8.761 0.000 2.807" Properties=species:S:1:pos:R:3 pbc="T T T"
Ta 13.647 0.000 1.436
Se 26.207 0.000 2.758
P 6.489 0.000 0.683
Se 20.838 0.000 2.193
```

Values from the calculation:
The total energy comes out at -6.27 eV/atom. The symmetry is R3m. The calculation puts the calculated volume at 20.56 Å³/atom.


(6)
# Rb2HfPOs

Crystalline Rb2HfPOs at its relaxed geometry (PBE, Alexandria via LeMat-Bulk).

Cell and atoms, written as extended XYZ:
```
5
Lattice="-2.038 -6.656 0.746 5.484 -1.211 4.180 -2.587 1.212 3.746" Properties=species:S:1:pos:R:3 pbc="T T T"
Rb 2.742 -0.605 2.090
Rb -1.019 -3.328 0.373
Hf 0.000 0.000 0.000
Os -1.294 0.606 1.873
P 0.430 -3.327 4.336
```

Values from the calculation:
The total energy comes out at -4.14 eV/atom. As for the energy of formation: 1.57 eV/atom. The symmetry is P4/mmm. The calculation puts the calculated volume at 46.18 Å³/atom.


(7)
# Ba2AsH2

Crystalline Ba2AsH2 at its relaxed geometry (PBE, Alexandria via LeMat-Bulk).

Cell and atoms, written as extended XYZ:
```
5
Lattice="4.592 0.233 1.691 1.861 4.204 1.691 -2.203 -1.514 7.488" Properties=species:S:1:pos:R:3 pbc="T T T"
H 4.092 1.351 6.343
Ba 0.369 1.716 7.357
Ba 3.882 1.207 3.512
H 0.159 1.571 4.526
As 2.296 0.116 0.845
```

Values from the calculation:
The total energy comes out at -3.55 eV/atom. The symmetry is C2/m. The calculation puts the calculated volume at 32.62 Å³/atom.


(8)
# Rb3Sm3HfS8

Crystalline Rb3Sm3HfS8 at its relaxed geometry (PBE, Alexandria via LeMat-Bulk).

Cell and atoms, written as extended XYZ:
```
15
Lattice="-5.211 -6.162 -0.690 7.091 -0.237 -3.909 0.313 -1.277 9.046" Properties=species:S:1:pos:R:3 pbc="T T T"
Rb 0.000 0.000 0.000
S 2.501 -2.168 0.474
Sm -2.449 -3.719 4.178
S 3.158 -5.744 1.882
S -3.767 -5.245 2.195
S 2.147 -2.303 4.354
S -0.308 -5.507 3.974
Sm 1.096 -3.838 2.224
S -0.965 -1.932 2.566
S 0.046 -5.372 0.094
Rb 3.546 -0.118 -1.954
S 5.960 -2.430 2.253
Hf 0.156 -0.639 4.523
Rb 0.940 -3.199 -2.299
Sm 3.702 -0.757 2.569
```

Values from the calculation:
The total energy comes out at -5.80 eV/atom. The symmetry is R-3m. The calculation puts the calculated volume at 29.74 Å³/atom.


(9)
# Na2CeCl4

Crystalline Na2CeCl4 at its relaxed geometry (PBE, Alexandria via LeMat-Bulk).

Cell and atoms, written as extended XYZ:
```
14
Lattice="-1.304 -2.967 1.918 7.082 -0.618 0.163 0.369 7.263 11.487" Properties=species:S:1:pos:R:3 pbc="T T T"
Na 1.691 -0.068 1.044
Na 4.321 1.068 8.287
Cl 3.075 3.574 7.619
Cl 0.650 1.634 2.969
Cl -0.467 2.148 6.702
Na 4.457 3.747 12.524
Ce 5.021 0.206 3.732
Cl 5.498 2.045 10.599
Ce 1.127 3.474 9.836
Cl 2.977 -1.782 2.963
Cl 3.073 0.106 5.949
Cl 3.171 5.461 10.605
Cl -0.652 -1.483 0.959
Na 1.827 2.611 5.281
```

Values from the calculation:
The total energy comes out at -4.10 eV/atom. The symmetry is Cmcm. The calculation puts the calculated volume at 25.08 Å³/atom.


(10)
# ErSnHgPd

Crystalline ErSnHgPd at its relaxed geometry (PBE, Alexandria via LeMat-Bulk).

Cell and atoms, written as extended XYZ:
```
4
Lattice="4.966 0.000 0.000 2.483 4.301 0.000 2.483 1.434 4.055" Properties=species:S:1:pos:R:3 pbc="T T T"
Hg 4.966 2.867 2.027
Pd 0.000 0.000 0.000
Sn 7.449 4.301 3.041
Er 2.483 1.434 1.014
```

Values from the calculation:
The total energy comes out at -4.06 eV/atom. As for the energy of formation: -0.54 eV/atom. The symmetry is F-43m. The calculation puts the calculated volume at 21.65 Å³/atom.